# Ba2ThGaO6

A relaxed Ba2ThGaO6 crystal (PBE-GGA, the Alexandria database).

abc: 4.403 4.403 8.496
angles: 90.00 90.00 90.00
Space group P4/mmm (No. 123)
Symmetry-distinct sites (fractional):
Ba (0.000, 0.000, 0.211)
Th (0.500, 0.500, 0.500)
Ga (0.500, 0.500, 0.000)
O (0.000, 0.500, 0.000)
O (0.000, 0.500, 0.500)
O (0.500, 0.500, 0.225)

Output
- Raw total energy: -6.98 eV/atom
- Formation energy from raw total energies: -59.32 kcal/mol of atoms